BaSr3P | SCAN | single point on PBEsol structure

CIF file:
```
data_BaSr3P
_space_group_name_H-M_alt 'P m -3 m'
_space_group_IT_number 221
_space_group_name_Hall '-P 4 2 3'
_cell_length_a 6.047
_cell_length_b 6.047
_cell_length_c 6.047
_cell_angle_alpha 90.00
_cell_angle_beta 90.00
_cell_angle_gamma 90.00
loop_
_atom_site_label
_atom_site_fract_x
_atom_site_fract_y
_atom_site_fract_z
_atom_site_occupancy
Ba1 0.000 0.000 0.000 1
Sr1 0.000 0.500 0.500 1
P1 0.500 0.500 0.500 1
```

The calculation puts the energy relative to the lowest polymorph listed for this composition at 0.0 kJ per mole of atoms. For the formation energy, the calculation gives -504 meV/atom.